1.
# LiThAl2 PBE relaxed
data_LiThAl2
_symmetry_space_group_name_H-M 'P 4/m m m'
_symmetry_Int_Tables_number 123
_symmetry_space_group_name_Hall '-P 4 2'
_cell_length_a 4.414
_cell_length_b 4.414
_cell_length_c 4.533
_cell_angle_alpha 90.00
_cell_angle_beta 90.00
_cell_angle_gamma 90.00
loop_
_atom_site_label
_atom_site_fract_x
_atom_site_fract_y
_atom_site_fract_z
_atom_site_occupancy
Li1 0.000 0.000 0.000 1
Th1 0.500 0.500 0.000 1
Al1 0.000 0.500 0.500 1
# M_tot: 0.000 μB/cell
# ΔH_f (0 K): -0.14 eV/atom

2.
# Ni2MoC PBE relaxed
data_Ni2MoC
_symmetry_space_group_name_H-M 'P 1 21/m 1'
_symmetry_Int_Tables_number 11
_cell_length_a 5.015
_cell_length_b 2.842
_cell_length_c 5.997
_cell_angle_alpha 90.00
_cell_angle_beta 102.10
_cell_angle_gamma 90.00
loop_
_symmetry_equiv_pos_as_xyz
'x,y,z'
'-x,-y,-z'
'-x,y+1/2,-z'
'x,-y+1/2,z'
loop_
_atom_site_label
_atom_site_fract_x
_atom_site_fract_y
_atom_site_fract_z
_atom_site_occupancy
Ni1 0.087 0.250 0.354 1
Ni2 0.411 0.750 0.644 1
Mo1 0.260 0.750 0.037 1
C1 0.192 0.250 0.749 1
# M_tot: 0.000 μB/cell
# ΔH_f (0 K): 0.14 eV/atom

3.
# LiPd6Pb PBE relaxed
data_LiPd6Pb
_symmetry_space_group_name_H-M 'P -1'
_symmetry_Int_Tables_number 2
_cell_length_a 5.138
_cell_length_b 5.150
_cell_length_c 5.164
_cell_angle_alpha 94.41
_cell_angle_beta 94.61
_cell_angle_gamma 94.68
loop_
_symmetry_equiv_pos_as_xyz
'x,y,z'
'-x,-y,-z'
loop_
_atom_site_label
_atom_site_fract_x
_atom_site_fract_y
_atom_site_fract_z
_atom_site_occupancy
Li1 0.000 0.000 0.000 1
Pd1 0.046 0.753 0.435 1
Pd2 0.248 0.565 0.953 1
Pd3 0.437 0.045 0.752 1
Pb1 0.500 0.500 0.500 1
# M_tot: 0.000 μB/cell
# ΔH_f (0 K): -0.15 eV/atom
# Polymorph energy (0 for the lowest one): 85 meV per atom

4.
# Ac3MnTl PBE relaxed
data_Ac3MnTl
_symmetry_space_group_name_H-M 'P m -3 m'
_symmetry_Int_Tables_number 221
_symmetry_space_group_name_Hall '-P 4 2 3'
_cell_length_a 5.498
_cell_length_b 5.498
_cell_length_c 5.498
_cell_angle_alpha 90.00
_cell_angle_beta 90.00
_cell_angle_gamma 90.00
loop_
_atom_site_label
_atom_site_fract_x
_atom_site_fract_y
_atom_site_fract_z
_atom_site_occupancy
Ac1 0.000 0.000 0.500 1
Mn1 0.000 0.000 0.000 1
Tl1 0.500 0.500 0.500 1
# M_tot: 0.096 μB/cell
# ΔH_f (0 K): 0.07 eV/atom

5.
# Nd4Y3Tl4 PBE relaxed
data_Nd4Y3Tl4
_symmetry_space_group_name_H-M 'I m m m'
_symmetry_Int_Tables_number 71
_symmetry_space_group_name_Hall '-I 2 2'
_cell_length_a 3.681
_cell_length_b 9.500
_cell_length_c 19.467
_cell_angle_alpha 90.00
_cell_angle_beta 90.00
_cell_angle_gamma 90.00
loop_
_atom_site_label
_atom_site_fract_x
_atom_site_fract_y
_atom_site_fract_z
_atom_site_occupancy
Nd1 0.000 0.175 0.162 1
Y1 0.000 0.000 0.406 1
Y2 0.000 0.500 0.500 1
Tl1 0.000 0.279 0.000 1
Tl2 0.000 0.500 0.224 1
# M_tot: 0.000 μB/cell
# ΔH_f (0 K): -0.27 eV/atom

6.
# Sm2Al4IrPt3 PBE relaxed
data_Sm2Al4IrPt3
_symmetry_space_group_name_H-M 'P -4 m 2'
_symmetry_Int_Tables_number 115
_cell_length_a 4.247
_cell_length_b 4.247
_cell_length_c 10.402
_cell_angle_alpha 90.00
_cell_angle_beta 90.00
_cell_angle_gamma 90.00
loop_
_symmetry_equiv_pos_as_xyz
'x,y,z'
'y,-x,-z'
'-x,-y,z'
'-y,x,-z'
'-x,y,z'
'-y,-x,-z'
'x,-y,z'
'y,x,-z'
loop_
_atom_site_label
_atom_site_fract_x
_atom_site_fract_y
_atom_site_fract_z
_atom_site_occupancy
Sm1 0.000 0.500 0.245 1
Al1 0.000 0.000 0.500 1
Al2 0.000 0.500 0.873 1
Al3 0.500 0.500 0.500 1
Ir1 0.500 0.500 0.000 1
Pt1 0.000 0.000 0.000 1
Pt2 0.000 0.500 0.634 1
# M_tot: 0.000 μB/cell
# ΔH_f (0 K): -1.08 eV/atom

7.
# CeYNiPd PBE relaxed
data_CeYNiPd
_symmetry_space_group_name_H-M 'F -4 3 m'
_symmetry_Int_Tables_number 216
_symmetry_space_group_name_Hall 'F -4 2 3'
_cell_length_a 6.989
_cell_length_b 6.989
_cell_length_c 6.989
_cell_angle_alpha 90.00
_cell_angle_beta 90.00
_cell_angle_gamma 90.00
loop_
_atom_site_label
_atom_site_fract_x
_atom_site_fract_y
_atom_site_fract_z
_atom_site_occupancy
Ce1 0.000 0.000 0.000 1
Y1 0.000 0.000 0.500 1
Ni1 0.250 0.250 0.750 1
Pd1 0.250 0.250 0.250 1
# M_tot: 2.268 μB/cell
# ΔH_f (0 K): -0.48 eV/atom

8.
# TbCeHo2Ru4 PBE relaxed
data_TbCeHo2Ru4
_symmetry_space_group_name_H-M 'R -3 m'
_symmetry_Int_Tables_number 166
_symmetry_space_group_name_Hall '-R 3 2"'
_cell_length_a 4.8501
_cell_length_b 4.8501
_cell_length_c 23.3085
_cell_angle_alpha 90.00
_cell_angle_beta 90.00
_cell_angle_gamma 120.00
loop_
_atom_site_label
_atom_site_fract_x
_atom_site_fract_y
_atom_site_fract_z
_atom_site_occupancy
Tb1 0.0000 0.0000 0.0000 1
Ce1 0.0000 0.0000 0.5000 1
Ho1 0.0000 0.0000 0.2522 1
Ru1 0.0000 0.0000 0.1276 1
Ru2 0.0000 0.0000 0.3796 1
# M_tot: 0.000 μB/cell
# ΔH_f (0 K): -0.38 eV/atom

9.
# NdFeCoGe3 PBE relaxed
data_NdFeCoGe3
_symmetry_space_group_name_H-M 'C m c m'
_symmetry_Int_Tables_number 63
_symmetry_space_group_name_Hall '-C 2c 2'
_cell_length_a 6.968
_cell_length_b 10.955
_cell_length_c 5.860
_cell_angle_alpha 90.00
_cell_angle_beta 90.00
_cell_angle_gamma 90.00
loop_
_atom_site_label
_atom_site_fract_x
_atom_site_fract_y
_atom_site_fract_z
_atom_site_occupancy
Nd1 0.000 0.249 0.250 1
Fe1 0.000 0.450 0.750 1
Co1 0.000 0.049 0.750 1
Ge1 0.000 0.249 0.750 1
Ge2 0.248 0.000 0.000 1
# M_tot: 4.904 μB/cell
# ΔH_f (0 K): -0.26 eV/atom

10.
# TbHo5Er2Sc PBE relaxed
data_TbHo5Er2Sc
_symmetry_space_group_name_H-M 'C m c 21'
_symmetry_Int_Tables_number 36
_cell_length_a 5.501
_cell_length_b 19.686
_cell_length_c 10.315
_cell_angle_alpha 90.00
_cell_angle_beta 90.00
_cell_angle_gamma 90.00
loop_
_symmetry_equiv_pos_as_xyz
'x,y,z'
'-x,-y,z+1/2'
'-x,y,z'
'x,-y,z+1/2'
'x+1/2,y+1/2,z'
'-x+1/2,-y+1/2,z+1/2'
'-x+1/2,y+1/2,z'
'x+1/2,-y+1/2,z+1/2'
loop_
_atom_site_label
_atom_site_fract_x
_atom_site_fract_y
_atom_site_fract_z
_atom_site_occupancy
Tb1 0.000 0.089 0.000 1
Ho1 0.000 0.019 0.284 1
Ho2 0.000 0.122 0.566 1
Ho3 0.000 0.200 0.250 1
Ho4 0.000 0.224 0.864 1
Ho5 0.000 0.482 0.563 1
Er1 0.000 0.386 0.282 1
Er2 0.000 0.389 0.857 1
Sc1 0.000 0.304 0.559 1
# M_tot: 0.000 μB/cell
# ΔH_f (0 K): 0.17 eV/atom

11.
# InSiSb2As PBE relaxed
data_InSiSb2As
_symmetry_space_group_name_H-M 'P 4/m m m'
_symmetry_Int_Tables_number 123
_symmetry_space_group_name_Hall '-P 4 2'
_cell_length_a 5.342
_cell_length_b 5.342
_cell_length_c 4.749
_cell_angle_alpha 90.00
_cell_angle_beta 90.00
_cell_angle_gamma 90.00
loop_
_atom_site_label
_atom_site_fract_x
_atom_site_fract_y
_atom_site_fract_z
_atom_site_occupancy
In1 0.000 0.000 0.000 1
Si1 0.500 0.500 0.500 1
Sb1 0.000 0.500 0.500 1
As1 0.500 0.500 0.000 1
# Uncorrected formation energy: 0.476 eV/atom
# M_tot: 0.000 μB/cell

12.
# NiGe4Ir2 PBE relaxed
data_NiGe4Ir2
_symmetry_space_group_name_H-M 'C 1 2/m 1'
_symmetry_Int_Tables_number 12
_cell_length_a 11.757
_cell_length_b 3.632
_cell_length_c 6.192
_cell_angle_alpha 90.00
_cell_angle_beta 115.27
_cell_angle_gamma 90.00
loop_
_symmetry_equiv_pos_as_xyz
'x,y,z'
'-x,-y,-z'
'-x,y,-z'
'x,-y,z'
'x+1/2,y+1/2,z'
'-x+1/2,-y+1/2,-z'
'-x+1/2,y+1/2,-z'
'x+1/2,-y+1/2,z'
loop_
_atom_site_label
_atom_site_fract_x
_atom_site_fract_y
_atom_site_fract_z
_atom_site_occupancy
Ni1 0.000 0.000 0.000 1
Ge1 0.091 0.500 0.279 1
Ge2 0.155 0.000 0.845 1
Ir1 0.247 0.500 0.693 1
# M_tot: 0.000 μB/cell
# ΔH_f (0 K): -0.25 eV/atom